# 1
First-principles (PBE) data for a relaxed Tl2CuRe crystal, as listed in Alexandria.

Cell and atoms, written as POSCAR:
```
Tl2CuRe
1.0
5.245 -0.010 0.000
1.964 4.863 0.000
-3.604 -2.426 2.937
Tl Re Cu
2 1 1
Direct
0.500 0.500 0.000
0.000 0.000 0.000
0.750 0.250 0.500
0.250 0.750 0.500
```

- magnetization (μB per cell) = 0.3
- E_tot (Ry/atom) = -0.3181

***

# 2
First-principles (PBE) data for a relaxed Tl2CuRe crystal, as listed in Alexandria.

Cell and atoms, written as POSCAR:
```
Tl2CuRe
1.0
2.927 -0.009 0.000
-0.083 2.926 0.000
0.000 0.000 9.884
Re Cu Tl
1 1 2
Direct
0.500 0.500 0.703
0.000 0.000 0.543
0.500 0.500 0.302
0.000 0.000 0.952
```

- magnetization (μB per cell) = 0.0
- E_tot (Ry/atom) = -0.3396

***

# 3
First-principles (PBE) data for a relaxed Tl2CuRe crystal, as listed in Alexandria.

Cell and atoms, written as POSCAR:
```
Tl2CuRe
1.0
-2.962 -2.921 -3.648
2.526 -1.940 -4.525
0.863 0.054 5.465
Tl Re Cu
2 1 1
Direct
0.250 0.750 0.500
0.000 0.000 0.000
0.750 0.250 0.500
0.500 0.500 0.000
```

- magnetization (μB per cell) = 1.0
- E_tot (Ry/atom) = -0.3218

***

Look up the magnetization of the second one.
0.0 μB per cell